[1]
VASP calculation (PBE-GGA) on crystalline Mg2ZrCl at its relaxed geometry.

Results
The value obtained for the distance to the lowest polymorph of the same formula is 123 kJ/mol of formula units. The value obtained for the total magnetization is 0.00 μB/f.u. The calculation puts the density of states at the Fermi level at 1.08 states/eV per atom. As for the energy relative to the elements, uncorrected: -0.143 eV per atom. The space group is C2/m (12).

Cell lengths 5.990, 5.990, 4.950 Å; angles 66.27, 66.27, 31.04 degrees
Sites, in units of the cell vectors:
Cl (0.250, 0.250, 0.250)
Mg (0.985, 0.985, 0.013)
Mg (0.515, 0.515, 0.487)
Zr (0.750, 0.750, 0.750)



[2]
VASP calculation (PBE-GGA) on crystalline Mg2ZrCl at its relaxed geometry.

Results
The value obtained for the distance to the lowest polymorph of the same formula is 177 kJ/mol of formula units. The value obtained for the total magnetization is 0.00 μB/f.u. The calculation puts the density of states at the Fermi level at 0.82 states/eV per atom. As for the energy relative to the elements, uncorrected: -0.003 eV per atom. The space group is I-42d (122).

Cell lengths 7.957, 7.957, 6.279 Å; angles 50.68, 50.68, 90.00 degrees
Sites, in units of the cell vectors:
Mg (0.875, 0.829, 0.750)
Mg (0.171, 0.625, 0.250)
Mg (0.579, 0.125, 0.250)
Zr (0.000, 0.000, 0.000)
Cl (0.500, 0.500, 0.000)
Cl (0.250, 0.750, 0.500)
Zr (0.750, 0.250, 0.500)
Mg (0.375, 0.421, 0.750)



[3]
VASP calculation (PBE-GGA) on crystalline Mg2ZrCl at its relaxed geometry.

Results
The value obtained for the distance to the lowest polymorph of the same formula is 70 kJ/mol of formula units. The value obtained for the total magnetization is 0.00 μB/f.u. The calculation puts the density of states at the Fermi level at 0.45 states/eV per atom. As for the energy relative to the elements, uncorrected: -0.279 eV per atom. The space group is Pm (6).

Cell lengths 5.023, 3.099, 5.924 Å; angles 82.30, 90.00, 90.00 degrees
Sites, in units of the cell vectors:
Mg (0.500, 0.269, 0.274)
Mg (0.000, 0.015, 0.027)
Zr (0.000, 0.631, 0.531)
Cl (0.500, 0.585, 0.668)



[4]
VASP calculation (PBE-GGA) on crystalline Mg3ZrCl at its relaxed geometry.

Results
The value obtained for the distance to the lowest polymorph of the same formula is 317 kJ/mol of formula units. The value obtained for the total magnetization is 2.92 μB/f.u. The calculation puts the density of states at the Fermi level at 1.89 states/eV per atom. As for the energy relative to the elements, uncorrected: 0.881 eV per atom. The space group is Pm-3m (221).

Cell lengths 5.883, 5.883, 5.883 Å; angles 90.00, 90.00, 90.00 degrees
Site moments in Bohr magnetons follow the coordinates.
Sites, in units of the cell vectors:
Cl (0.500, 0.500, 0.500)  0.04
Mg (0.000, 0.000, 0.500)  0.00
Mg (0.500, 0.000, 0.000)  0.05
Zr (0.000, 0.000, 0.000)  1.40
Mg (0.000, 0.500, 0.000)  0.01